This record from Alexandria via LeMat-Bulk describes CdAuBr2 after structural relaxation. The functional is PBE-GGA.

abc: 8.485 8.485 8.485
angles: 27.90 27.90 27.90
Fractional coordinates of all 4 atoms:
Au 0.756 0.756 0.756
Br 0.032 0.032 0.032
Br 0.222 0.222 0.222
Cd 0.491 0.491 0.491

Calculated values
Space group = R3m (160)
Distance to the lowest polymorph of the same formula = 4 meV/atom
Magnetic moment = 0.000 μB/atom